# 1
Material: GdClO2
Method: DFT, PBE
State: optimized geometry

## Properties
Total DFT energy (no corrections): -4.85 eV per atom
Calculated volume: 106 Å³/f.u.

a b c (Å): 4.4836 4.4836 5.2839
angles (deg): 90.00 90.00 90.00
Space group P4/mmm (No. 123)
Unique sites:
Gd1 0.0000 0.0000 0.0000 (multiplicity 1)
Cl1 0.5000 0.5000 0.5000 (multiplicity 1)
O1 0.0000 0.0000 0.3750 (multiplicity 2)

---

# 2
Material: GdDy3In2
Method: DFT, PBE
State: optimized geometry

## Properties
Total DFT energy (no corrections): -4.34 eV per atom
Calculated volume: 170 Å³/f.u.

a b c (Å): 5.3969 5.3969 6.7294
angles (deg): 90.00 90.00 120.00
Space group P-6m2 (No. 187)
Unique sites:
Gd1 0.0000 0.0000 0.0000 (multiplicity 1)
Dy1 0.3333 0.6667 0.5000 (multiplicity 1)
Dy2 0.6667 0.3333 0.2509 (multiplicity 2)
In1 0.0000 0.0000 0.5000 (multiplicity 1)
In2 0.3333 0.6667 0.0000 (multiplicity 1)

---

# 3
Material: DyTlOs
Method: DFT, PBE
State: optimized geometry

## Properties
Total DFT energy (no corrections): -5.23 eV per atom
Calculated volume: 77 Å³/f.u.
Energy relative to the lowest polymorph listed for this composition: 0.46 eV/f.u.

a b c (Å): 6.7453 6.7453 6.7453
angles (deg): 90.00 90.00 90.00
Space group F-43m (No. 216)
Unique sites:
Dy1 0.0000 0.0000 0.0000 (multiplicity 4)
Tl1 0.2500 0.2500 0.2500 (multiplicity 4)
Os1 0.2500 0.2500 0.7500 (multiplicity 4)